1.
Compound: RbInSbTe2
Source: Alexandria via LeMat-Bulk
Functional: GGA-PBE
Structure: relaxed

a = 6.3626 Å, b = 6.3626 Å, c = 6.1371 Å
α = 90.00°, β = 90.00°, γ = 90.00°
Closest atoms and distances in Å follow each position.
Atoms (fractional coordinates):
1 Rb 0.0000 0.0000 0.0000  2 Sb 3.07, 4 Te 3.18
2 In 0.5000 0.5000 0.5000  8 Te 4.42, 4 Sb 4.50
3 Sb 0.0000 0.0000 0.5000  2 Rb 3.07
4 Te 0.0000 0.5000 0.0000  2 Rb 3.18
5 Te 0.5000 0.0000 0.0000  2 Rb 3.18

## Properties
total moment	0.43	μB per formula unit
excess energy over the best structure of this formula in the dataset	856.9	meV per atom
SG	No. 123
energy	-1.9791	eV/atom

---

2.
Compound: InCu2Au2
Source: Alexandria via LeMat-Bulk
Functional: GGA-PBE
Structure: relaxed

a = 7.1015 Å, b = 7.1015 Å, c = 3.3344 Å
α = 90.00°, β = 90.00°, γ = 90.00°
Closest atoms and distances in Å follow each position.
Atoms (fractional coordinates):
1 In 0.0000 0.0000 0.0000  4 Cu 2.80, 8 Au 3.13
2 In 0.5000 0.5000 0.0000  4 Cu 2.80, 8 Au 3.13
3 Cu 0.1275 0.3725 0.0000  1 Cu 2.56, 6 Au 2.66-2.69, 2 In 2.80
4 Cu 0.3725 0.8725 0.0000  1 Cu 2.56, 6 Au 2.66-2.69, 2 In 2.80
5 Cu 0.6275 0.1275 0.0000  1 Cu 2.56, 6 Au 2.66-2.69, 2 In 2.80
6 Cu 0.8725 0.6275 0.0000  1 Cu 2.56, 6 Au 2.66-2.69, 2 In 2.80
7 Au 0.1664 0.6664 0.5000  6 Cu 2.66-2.69
8 Au 0.3336 0.1664 0.5000  6 Cu 2.66-2.69
9 Au 0.6664 0.8336 0.5000  6 Cu 2.66-2.69
10 Au 0.8336 0.3336 0.5000  6 Cu 2.66-2.69

## Properties
total moment	0.00	μB per formula unit
excess energy over the best structure of this formula in the dataset	1.8	meV per atom
SG	No. 127
energy	-3.5466	eV/atom
DFT formation energy	-1.1	kcal/mol of atoms

---

3.
Compound: NbTlAs2
Source: Alexandria via LeMat-Bulk
Functional: GGA-PBE
Structure: relaxed

a = 7.5040 Å, b = 7.5040 Å, c = 7.5040 Å
α = 128.10°, β = 128.10°, γ = 76.46°
Closest atoms and distances in Å follow each position.
Atoms (fractional coordinates):
1 Nb 0.0000 0.0000 0.0000  4 As 2.48
2 Nb 0.7500 0.2500 0.5000  4 As 2.48
3 Tl 0.2500 0.7500 0.5000  4 As 3.08
4 Tl 0.5000 0.5000 0.0000  4 As 3.08
5 As 0.0474 0.6250 0.9224  2 Nb 2.48
6 As 0.3750 0.2974 0.4224  2 Nb 2.48
7 As 0.7026 0.1250 0.0776  2 Nb 2.48
8 As 0.8750 0.9526 0.5776  2 Nb 2.48

## Properties
total moment	0.00	μB per formula unit
excess energy over the best structure of this formula in the dataset	0.0	meV per atom
SG	No. 122
energy	-5.3401	eV/atom
DFT formation energy	2.2	kcal/mol of atoms

---

4.
Compound: LiFe2Mo
Source: Alexandria via LeMat-Bulk
Functional: GGA-PBE
Structure: relaxed

a = 2.4908 Å, b = 4.0589 Å, c = 5.1027 Å
α = 90.00°, β = 90.00°, γ = 90.00°
Closest atoms and distances in Å follow each position.
Atoms (fractional coordinates):
1 Li 0.0000 0.0000 0.0000  6 Fe 2.44-2.67, 2 Li 2.49
2 Fe 0.0000 0.0000 0.5223  2 Li 2.44-2.67, 6 Fe 2.49-2.70, 4 Mo 2.69
3 Fe 0.5000 0.5000 0.7735  6 Fe 2.49-2.70, 2 Mo 2.53-2.57, 4 Li 2.65
4 Mo 0.5000 0.5000 0.2781  2 Mo 2.49, 6 Fe 2.53-2.69, 4 Li 2.77

## Properties
total moment	3.93	μB per formula unit
excess energy over the best structure of this formula in the dataset	119.3	meV per atom
SG	No. 25
energy	-7.0846	eV/atom
DFT formation energy	7.7	kcal/mol of atoms

---

5.
Compound: CrBr2Cl
Source: Alexandria via LeMat-Bulk
Functional: GGA-PBE
Structure: relaxed

a = 11.4472 Å, b = 11.4472 Å, c = 11.4472 Å
α = 18.37°, β = 18.37°, γ = 18.37°
Closest atoms and distances in Å follow each position.
Atoms (fractional coordinates):
1 Cr 0.0000 0.0000 0.0000  2 Br 2.29
2 Br 0.0679 0.0679 0.0679  1 Cr 2.29
3 Br 0.9321 0.9321 0.9321  1 Cr 2.29
4 Cl 0.5000 0.5000 0.5000  6 Cl 3.65, 6 Br 3.94

## Properties
total moment	4.44	μB per formula unit
excess energy over the best structure of this formula in the dataset	1048.8	meV per atom
SG	No. 166
energy	-3.4257	eV/atom

---

6.
Compound: CsTl2Au
Source: Alexandria via LeMat-Bulk
Functional: GGA-PBE
Structure: relaxed

a = 5.7123 Å, b = 5.7123 Å, c = 5.7123 Å
α = 60.00°, β = 60.00°, γ = 60.00°
Closest atoms and distances in Å follow each position.
Atoms (fractional coordinates):
1 Cs 0.0000 0.0000 0.0000  8 Tl 3.50
2 Tl 0.2500 0.2500 0.2500  4 Au 3.50, 4 Cs 3.50
3 Tl 0.7500 0.7500 0.7500  4 Au 3.50, 4 Cs 3.50
4 Au 0.5000 0.5000 0.5000  8 Tl 3.50

## Properties
total moment	0.00	μB per formula unit
SG	No. 225
energy	-2.0975	eV/atom
DFT formation energy	2.7	kcal/mol of atoms